Material: MgCuP
Method: DFT, PBE
State: optimized geometry

Summary:
Total DFT energy (no corrections) in eV/f.u.: -12.0
Formation energy from the elements in eV/atom: -0.2924
Calculated volume in Å³ per cell: 92

a b c (Å): 3.7831 3.7845 6.9390
angles (deg): 105.66 105.54 90.00
Atoms (fractional coordinates):
1 Mg 0.1683 0.1683 0.3370
2 Mg 0.8317 0.8317 0.6630
3 Cu 0.0000 0.5000 0.0000
4 Cu 0.5000 0.0000 0.0000
5 P 0.3715 0.3717 0.7444
6 P 0.6285 0.6283 0.2556


Material: DySF
Method: DFT, PBE
State: optimized geometry

Summary:
Total DFT energy (no corrections) in eV/f.u.: -18.1
Formation energy from raw total energies in eV/atom: -2.509
Calculated volume in Å³ per cell: 57

a b c (Å): 4.7432 4.7432 4.7432
angles (deg): 132.73 132.73 69.08
Atoms (fractional coordinates):
1 Dy 0.0000 0.0000 0.0000
2 S 0.3889 0.3889 0.0000
3 F 0.7299 0.7299 0.0000


Material: AcTb2Rh
Method: DFT, PBE
State: optimized geometry

Summary:
Total DFT energy (no corrections) in eV/f.u.: -22.3
Formation energy from the elements in eV/atom: -0.3826
Excess energy over the best structure of this formula in the dataset in eV/f.u.: 0.33
Calculated volume in Å³ per cell: 131

a b c (Å): 9.5948 9.5948 9.5948
angles (deg): 24.21 24.21 24.21
Atoms (fractional coordinates):
1 Ac 0.0000 0.0000 0.0000
2 Tb 0.5517 0.5517 0.5517
3 Tb 0.7778 0.7778 0.7778
4 Rh 0.1648 0.1648 0.1648


Material: NaSrCuSe2
Method: DFT, PBE
State: optimized geometry

Summary:
Total DFT energy (no corrections) in eV/f.u.: -19.3
Formation energy from raw total energies in eV/atom: -1.042
Calculated volume in Å³ per cell: 248

a b c (Å): 7.8746 7.8746 5.5180
angles (deg): 90.00 90.00 133.67
Atoms (fractional coordinates):
1 Na 0.2500 0.2500 0.0000
2 Na 0.7500 0.7500 0.0000
3 Sr 0.2500 0.7500 0.7450
4 Sr 0.7500 0.2500 0.2550
5 Cu 0.0000 0.0000 0.5000
6 Cu 0.5000 0.5000 0.5000
7 Se 0.1325 0.8675 0.2651
8 Se 0.3675 0.6325 0.2651
9 Se 0.6325 0.3675 0.7349
10 Se 0.8675 0.1325 0.7349


Material: FeCo2H
Method: DFT, PBE
State: optimized geometry

Summary:
Total DFT energy (no corrections) in eV/f.u.: -25.2
Excess energy over the best structure of this formula in the dataset in eV/f.u.: 0.82
Calculated volume in Å³ per cell: 74

a b c (Å): 4.6747 4.6747 4.6747
angles (deg): 102.03 102.03 125.68
Atoms (fractional coordinates):
1 Fe 0.0000 0.0000 0.0000
2 Fe 0.7500 0.2500 0.5000
3 Co 0.2264 0.6250 0.1014
4 Co 0.3750 0.4764 0.6014
5 Co 0.5236 0.1250 0.8986
6 Co 0.8750 0.7736 0.3986
7 H 0.2500 0.7500 0.5000
8 H 0.5000 0.5000 0.0000


Material: PrLuScHg
Method: DFT, PBE
State: optimized geometry

Summary:
Total DFT energy (no corrections) in eV/f.u.: -16.2
Formation energy from the elements in eV/atom: -0.0633
Calculated volume in Å³ per cell: 109

a b c (Å): 5.3578 5.3578 5.3578
angles (deg): 60.00 60.00 60.00
Atoms (fractional coordinates):
1 Pr 0.0000 0.0000 0.0000
2 Lu 0.5000 0.5000 0.5000
3 Sc 0.7500 0.7500 0.7500
4 Hg 0.2500 0.2500 0.2500


Material: TbPr2Cu
Method: DFT, PBE
State: optimized geometry

Summary:
Total DFT energy (no corrections) in eV/f.u.: -18.0
Formation energy from the elements in eV/atom: 0.0758
Excess energy over the best structure of this formula in the dataset in eV/f.u.: 0.42
Calculated volume in Å³ per cell: 121

a b c (Å): 10.2885 10.2885 10.2885
angles (deg): 20.86 20.86 20.86
Atoms (fractional coordinates):
1 Tb 0.0000 0.0000 0.0000
2 Pr 0.5699 0.5699 0.5699
3 Pr 0.7645 0.7645 0.7645
4 Cu 0.1676 0.1676 0.1676


Material: SrSi2Rh
Method: DFT, PBE
State: optimized geometry

Summary:
Total DFT energy (no corrections) in eV/f.u.: -21.0
Formation energy from raw total energies in eV/atom: -0.278
Calculated volume in Å³ per cell: 89

a b c (Å): 5.0990 5.0990 5.0990
angles (deg): 131.61 106.92 92.58
Atoms (fractional coordinates):
1 Sr 0.0000 0.0000 0.0000
2 Si 0.3326 0.8326 0.5000
3 Si 0.6674 0.1674 0.5000
4 Rh 0.5000 0.5000 0.0000